(1)
Compound: Na2FeBr
Source: Alexandria via LeMat-Bulk
Functional: GGA-PBE
Structure: relaxed

a = 7.926 Å, b = 7.926 Å, c = 7.586 Å
α = 90.00°, β = 90.00°, γ = 90.00°
Space group I-42d (No. 122)
Unique sites:
Na1 0.225 0.750 0.125 (multiplicity 8)
Fe1 0.000 0.000 0.500 (multiplicity 4)
Br1 0.000 0.000 0.000 (multiplicity 4)

Values from the calculation:
V: 29.79 A^3/atom
formation energy (no corrections): 0.214 eV per atom

---

(2)
Compound: NaFeBr4
Source: Alexandria via LeMat-Bulk
Functional: GGA-PBE
Structure: relaxed

a = 6.591 Å, b = 6.591 Å, c = 11.434 Å
α = 90.00°, β = 90.00°, γ = 90.00°
Space group P-42c (No. 112)
Unique sites:
Na1 0.000 0.000 0.000 (multiplicity 2)
Fe1 0.000 0.500 0.250 (multiplicity 2)
Br1 0.218 0.298 0.366 (multiplicity 8)

Values from the calculation:
V: 41.39 A^3/atom
formation energy (no corrections): -0.835 eV per atom

---

(3)
Compound: Na2FeBr
Source: Alexandria via LeMat-Bulk
Functional: GGA-PBE
Structure: relaxed

a = 7.492 Å, b = 7.492 Å, c = 7.492 Å
α = 90.00°, β = 90.00°, γ = 90.00°
Space group Fm-3m (No. 225)
Unique sites:
Na1 0.250 0.250 0.250 (multiplicity 8)
Fe1 0.000 0.000 0.000 (multiplicity 4)
Br1 0.000 0.000 0.500 (multiplicity 4)

Values from the calculation:
V: 26.28 A^3/atom
formation energy (no corrections): 0.244 eV per atom

---

(4)
Compound: Na2Fe2Br7
Source: Alexandria via LeMat-Bulk
Functional: GGA-PBE
Structure: relaxed

a = 6.768 Å, b = 14.810 Å, c = 7.674 Å
α = 90.00°, β = 98.21°, γ = 90.00°
Space group P2_1/c (No. 14)
Unique sites:
Na1 0.103 0.152 0.418 (multiplicity 4)
Fe1 0.349 0.614 0.665 (multiplicity 4)
Br1 0.085 0.679 0.464 (multiplicity 4)
Br2 0.216 0.544 0.904 (multiplicity 4)
Br3 0.396 0.218 0.727 (multiplicity 4)
Br4 0.500 0.000 0.000 (multiplicity 2)

Values from the calculation:
V: 34.60 A^3/atom
formation energy (no corrections): -0.834 eV per atom

---

(5)
Compound: NaFe3Br12
Source: Alexandria via LeMat-Bulk
Functional: GGA-PBE
Structure: relaxed

a = 11.2292 Å, b = 11.2292 Å, c = 35.2392 Å
α = 90.00°, β = 90.00°, γ = 120.00°
Space group R3c (No. 161, hexagonal axes)
Unique sites:
Na1 0.0000 0.0000 0.0000 (multiplicity 6)
Fe1 0.0168 0.3051 0.1048 (multiplicity 18)
Br1 0.0652 0.5141 0.9388 (multiplicity 18)
Br2 0.0738 0.5048 0.7155 (multiplicity 18)
Br3 0.0858 0.5083 0.8257 (multiplicity 18)
Br4 0.0996 0.5423 0.1054 (multiplicity 18)

Values from the calculation:
V: 40.09 A^3/atom
formation energy (no corrections): -0.497 eV per atom

---

(6)
Compound: Na2FeBr5
Source: Alexandria via LeMat-Bulk
Functional: GGA-PBE
Structure: relaxed

a = 11.876 Å, b = 12.343 Å, c = 8.646 Å
α = 90.00°, β = 90.00°, γ = 90.00°
Space group Pnnm (No. 58)
Unique sites:
Na1 0.000 0.000 0.221 (multiplicity 4)
Na2 0.120 0.340 0.000 (multiplicity 4)
Fe1 0.243 0.236 0.500 (multiplicity 4)
Br1 0.061 0.158 0.500 (multiplicity 4)
Br2 0.119 0.119 0.000 (multiplicity 4)
Br3 0.123 0.593 0.000 (multiplicity 4)
Br4 0.229 0.847 0.218 (multiplicity 8)

Values from the calculation:
V: 39.60 A^3/atom
formation energy (no corrections): -0.975 eV per atom

---

> Which of these has the lowest V?

number 3